DFT (PBEsol) results for Al2CrPt after structural relaxation.

Results
DFT total energy ... -0.48647 Ry per atom
Formation energy ... -0.2716 eV per atom
Space-group type ... No. 12
D(E_F) ... 2.63 states/eV/f.u.

The structure in POSCAR format:
```
Al2CrPt
1.0
-1.974 1.513 1.003
-0.693 -4.382 2.184
4.098 2.262 1.594
Al Cr Pt
2 1 1
Direct
0.000 0.000 0.500 Al
0.000 0.500 0.000 Al
0.500 0.000 0.000 Cr
0.500 0.500 0.500 Pt
```